Model P:
Density functional theory data (SCAN) for Sb2PCl at its PBEsol-relaxed geometry.

Geometry as CIF:
```
data_Sb2PCl
_symmetry_space_group_name_H-M 'I -4 m 2'
_symmetry_Int_Tables_number 119
_symmetry_space_group_name_Hall 'I -4 -2'
_cell_length_a 3.945
_cell_length_b 3.945
_cell_length_c 11.463
_cell_angle_alpha 90.00
_cell_angle_beta 90.00
_cell_angle_gamma 90.00
loop_
_atom_site_label
_atom_site_type_symbol
_atom_site_fract_x
_atom_site_fract_y
_atom_site_fract_z
Sb1 Sb 0.000 0.000 0.000
Sb2 Sb 0.000 0.500 0.250
P1 P 0.000 0.500 0.750
Cl1 Cl 0.000 0.000 0.500
```

Summary:
* volume: 22.3 Å³/atom
* crystal system: tetragonal


Model Q:
Density functional theory data (SCAN) for Sb2PCl at its PBEsol-relaxed geometry.

Geometry as CIF:
```
data_Sb2PCl
_symmetry_space_group_name_H-M 'R -3 m'
_symmetry_Int_Tables_number 166
_symmetry_space_group_name_Hall '-R 3 2"'
_cell_length_a 4.3455
_cell_length_b 4.3455
_cell_length_c 17.8865
_cell_angle_alpha 90.00
_cell_angle_beta 90.00
_cell_angle_gamma 120.00
loop_
_atom_site_label
_atom_site_type_symbol
_atom_site_fract_x
_atom_site_fract_y
_atom_site_fract_z
Sb1 Sb 0.0000 0.0000 0.2290
P1 P 0.0000 0.0000 0.5000
Cl1 Cl 0.0000 0.0000 0.0000
```

Summary:
* volume: 24.4 Å³/atom
* crystal system: trigonal


model Q is favored, and the nearest alternative lies 0.335 eV/atom above it.